Ag3PtRh (PBE-GGA, optimized geometry); space-group type = Pm-3m; calculated formation energy = 624 kJ/mol of formula units; theoretical density = 8.1 g/cm³; energy above the most stable polymorph in this dataset = 0 meV per atom; energy = -3.0950 eV per atom
1.0
5.0258 0.0000 0.0000
0.0000 5.0258 0.0000
0.0000 0.0000 5.0258
Pt Rh Ag
1 1 3
Direct
0.0000 0.0000 0.0000
0.5000 0.5000 0.5000
0.5000 0.0000 0.0000
0.0000 0.5000 0.0000
0.0000 0.0000 0.5000